Tm4AlAg2 | PBE | optimized geometry

Calculated values
Electronic total energy, eV per atom: -3.977
M_tot, μB per cell: 0.00
DFT formation energy, eV/atom: -0.073
Energy above the lowest structure with this stoichiometry, kJ/mol of atoms: 11.6

Cell lengths 9.296, 9.296, 9.296 Å; angles 30.88, 30.88, 30.88 degrees
Fractional positions:
Tm  0.125  0.125  0.125
Tm  0.291  0.291  0.291
Tm  0.709  0.709  0.709
Tm  0.875  0.875  0.875
Al  0.500  0.500  0.500
Ag  0.403  0.403  0.403
Ag  0.597  0.597  0.597